The following is a GGA-PBE calculation of a relaxed Tm3GaRu crystal, from Alexandria via LeMat-Bulk.

Cell: 8.9097 8.9097 6.5935 Å, 91.89 91.89 72.60°
Positions (direct):
1 Tm 0.0253 0.1819 0.1130
2 Tm 0.0254 0.4232 0.7203
3 Tm 0.1819 0.0253 0.6130
4 Tm 0.3381 0.4452 0.1045
5 Tm 0.4232 0.0254 0.2203
6 Tm 0.4452 0.3381 0.6045
7 Tm 0.5548 0.6619 0.3955
8 Tm 0.5768 0.9746 0.7797
9 Tm 0.6619 0.5548 0.8955
10 Tm 0.8181 0.9747 0.3870
11 Tm 0.9746 0.5768 0.2797
12 Tm 0.9747 0.8181 0.8870
13 Ga 0.2025 0.7975 0.2500
14 Ga 0.3106 0.6894 0.7500
15 Ga 0.6894 0.3106 0.2500
16 Ga 0.7975 0.2025 0.7500
17 Ru 0.2110 0.2796 0.3840
18 Ru 0.2796 0.2110 0.8840
19 Ru 0.7204 0.7890 0.1160
20 Ru 0.7890 0.7204 0.6160

Calculated values
**DOS at the Fermi energy**: 12.39 states/eV/cell
**Space-group type**: C2/c (15)
**Energy above the most stable polymorph in this dataset**: 0.174 eV/atom
**Magnetization**: 0.00 μB/f.u.
**Formation energy**: -0.317 eV/atom


The following is a GGA-PBE calculation of a relaxed TmGaRu2 crystal, from Alexandria via LeMat-Bulk.

Cell: 4.4156 4.4156 3.3394 Å, 90.00 90.00 90.00°
Positions (direct):
1 Tm 0.0000 0.0000 0.0000
2 Ga 0.5000 0.5000 0.0000
3 Ru 0.0000 0.5000 0.5000
4 Ru 0.5000 0.0000 0.5000

Calculated values
**DOS at the Fermi energy**: 5.18 states/eV/cell
**Space-group type**: P4/mmm (123)
**Magnetization**: 0.00 μB/f.u.
**Formation energy**: -0.349 eV/atom


The following is a GGA-PBE calculation of a relaxed Tm2Ga3Ru crystal, from Alexandria via LeMat-Bulk.

Cell: 5.3558 5.3558 5.3558 Å, 60.66 60.66 60.66°
Positions (direct):
1 Tm 0.1272 0.1272 0.1272
2 Tm 0.8728 0.8728 0.8728
3 Ga 0.0000 0.5000 0.5000
4 Ga 0.5000 0.0000 0.5000
5 Ga 0.5000 0.5000 0.0000
6 Ru 0.5000 0.5000 0.5000

Calculated values
**DOS at the Fermi energy**: 3.67 states/eV/cell
**Space-group type**: R-3m (166)
**Magnetization**: 0.00 μB/f.u.
**Formation energy**: -0.594 eV/atom


The following is a GGA-PBE calculation of a relaxed Tm3Ga4Ru crystal, from Alexandria via LeMat-Bulk.

Cell: 3.4744 5.8905 16.7136 Å, 90.00 90.00 90.00°
Positions (direct):
1 Tm 0.0000 0.0000 0.0000
2 Tm 0.0000 0.5000 0.2253
3 Tm 0.0000 0.5000 0.7747
4 Tm 0.5000 0.0000 0.2747
5 Tm 0.5000 0.0000 0.7253
6 Tm 0.5000 0.5000 0.5000
7 Ga 0.0000 0.2624 0.3818
8 Ga 0.0000 0.2624 0.6182
9 Ga 0.0000 0.7376 0.3818
10 Ga 0.0000 0.7376 0.6182
11 Ga 0.5000 0.2376 0.1182
12 Ga 0.5000 0.2376 0.8818
13 Ga 0.5000 0.7624 0.1182
14 Ga 0.5000 0.7624 0.8818
15 Ru 0.0000 0.0000 0.5000
16 Ru 0.5000 0.5000 0.0000

Calculated values
**DOS at the Fermi energy**: 7.14 states/eV/cell
**Space-group type**: Immm (71)
**Magnetization**: 0.00 μB/f.u.
**Formation energy**: -0.331 eV/atom


The following is a GGA-PBE calculation of a relaxed Tm3Ga4Ru2 crystal, from Alexandria via LeMat-Bulk.

Cell: 5.5320 5.5320 8.2308 Å, 103.78 103.78 46.19°
Positions (direct):
1 Tm 0.0000 0.0000 0.0000
2 Tm 0.3814 0.3814 0.6222
3 Tm 0.6186 0.6186 0.3778
4 Ga 0.0948 0.0948 0.6489
5 Ga 0.3018 0.3018 0.9418
6 Ga 0.6982 0.6982 0.0582
7 Ga 0.9052 0.9052 0.3511
8 Ru 0.2835 0.2835 0.2438
9 Ru 0.7165 0.7165 0.7562

Calculated values
**DOS at the Fermi energy**: 4.58 states/eV/cell
**Space-group type**: C2/m (12)
**Energy above the most stable polymorph in this dataset**: 0.022 eV/atom
**Magnetization**: 0.00 μB/f.u.
**Formation energy**: -0.564 eV/atom


The following is a GGA-PBE calculation of a relaxed Tm2GaRu3 crystal, from Alexandria via LeMat-Bulk.

Cell: 5.2142 5.2142 5.2142 Å, 62.70 62.70 62.70°
Positions (direct):
1 Tm 0.1253 0.1253 0.1253
2 Tm 0.8747 0.8747 0.8747
3 Ga 0.5000 0.5000 0.5000
4 Ru 0.0000 0.5000 0.5000
5 Ru 0.5000 0.0000 0.5000
6 Ru 0.5000 0.5000 0.0000

Calculated values
**DOS at the Fermi energy**: 6.27 states/eV/cell
**Space-group type**: R-3m (166)
**Magnetization**: 1.36 μB/f.u.
**Formation energy**: -0.462 eV/atom